Record 1
Density functional theory data (PBE) for a relaxed TbY6Tm3Sc2 crystal.

a b c (Å): 6.064 6.064 11.589
angles (deg): 95.00 95.00 119.94
Fractional positions:
1 Sc 0.333 0.667 0.000
2 Y 0.083 0.418 0.246
3 Tm 0.833 0.167 0.500
4 Tm 0.500 0.500 0.500
5 Y 0.917 0.582 0.754
6 Tm 0.167 0.833 0.500
7 Y 0.747 0.747 0.246
8 Tb 0.000 0.000 0.000
9 Y 0.253 0.253 0.754
10 Y 0.418 0.083 0.246
11 Sc 0.667 0.333 0.000
12 Y 0.582 0.917 0.754

Calculated values
Energy of formation from the pure elements in eV/atom: 0.05
Final energy in eV per atom: -5.745
Space-group type: C2/m, No. 12
Fermi-level density of states in states/eV per cell: 18.75

Record 2
Density functional theory data (PBE) for a relaxed TbY5TmSc2 crystal.

a b c (Å): 5.604 11.036 9.363
angles (deg): 90.00 90.00 104.71
Fractional positions:
1 Y 0.388 0.777 0.047
2 Y 0.736 0.472 0.837
3 Y 0.469 0.939 0.748
4 Y 0.612 0.223 0.547
5 Y 0.264 0.528 0.337
6 Y 0.306 0.612 0.716
7 Tb 0.184 0.367 0.018
8 Y 0.694 0.388 0.216
9 Sc 0.133 0.266 0.704
10 Tm 0.401 0.802 0.421
11 Tb 0.816 0.633 0.518
12 Sc 0.867 0.734 0.204
13 Y 0.012 0.024 0.012
14 Sc 0.113 0.226 0.323
15 Y 0.531 0.061 0.248
16 Y 0.988 0.976 0.512
17 Tm 0.599 0.198 0.921
18 Sc 0.887 0.774 0.823

Calculated values
Energy of formation from the pure elements in eV/atom: 0.17
Final energy in eV per atom: -5.844
Space-group type: Cmc2_1, No. 36
Fermi-level density of states in states/eV per cell: 29.05

Record 3
Density functional theory data (PBE) for a relaxed TbY2Tm4Sc crystal.

a b c (Å): 4.932 4.933 11.050
angles (deg): 63.50 90.00 90.00
Fractional positions:
1 Tm 0.500 0.746 0.255
2 Tm 0.000 0.246 0.255
3 Tb 0.500 0.500 0.000
4 Tm 0.000 0.754 0.745
5 Tm 0.500 0.254 0.745
6 Y 0.000 0.000 0.000
7 Y 0.500 0.000 0.500
8 Sc 0.000 0.500 0.500

Calculated values
Energy of formation from the pure elements in eV/atom: 0.04
Final energy in eV per atom: -5.182
Space-group type: P4/mmm, No. 123
Fermi-level density of states in states/eV per cell: 12.43

Record 4
Density functional theory data (PBE) for a relaxed TbY6Tm2Sc crystal.

a b c (Å): 9.431 8.674 8.674
angles (deg): 116.91 93.94 93.94
Fractional positions:
1 Y 0.555 0.755 0.123
2 Tb 0.750 0.024 0.976
3 Y 0.312 0.996 0.438
4 Y 0.812 0.438 0.996
5 Y 0.614 0.492 0.705
6 Tm 0.050 0.302 0.201
7 Y 0.886 0.295 0.508
8 Y 0.055 0.123 0.755
9 Y 0.188 0.562 0.004
10 Y 0.386 0.508 0.295
11 Sc 0.750 0.587 0.413
12 Tm 0.950 0.698 0.799
13 Sc 0.250 0.413 0.587
14 Y 0.114 0.705 0.492
15 Y 0.688 0.004 0.562
16 Y 0.445 0.245 0.877
17 Tm 0.450 0.799 0.698
18 Y 0.945 0.877 0.245
19 Tm 0.550 0.201 0.302
20 Tb 0.250 0.976 0.024

Calculated values
Energy of formation from the pure elements in eV/atom: 0.13
Final energy in eV per atom: -5.741
Space-group type: C2/c, No. 15
Fermi-level density of states in states/eV per cell: 30.51

Copy entry 1 word for word.
Density functional theory data (PBE) for a relaxed TbY6Tm3Sc2 crystal.

a b c (Å): 6.064 6.064 11.589
angles (deg): 95.00 95.00 119.94
Fractional positions:
1 Sc 0.333 0.667 0.000
2 Y 0.083 0.418 0.246
3 Tm 0.833 0.167 0.500
4 Tm 0.500 0.500 0.500
5 Y 0.917 0.582 0.754
6 Tm 0.167 0.833 0.500
7 Y 0.747 0.747 0.246
8 Tb 0.000 0.000 0.000
9 Y 0.253 0.253 0.754
10 Y 0.418 0.083 0.246
11 Sc 0.667 0.333 0.000
12 Y 0.582 0.917 0.754

Calculated values
Energy of formation from the pure elements in eV/atom: 0.05
Final energy in eV per atom: -5.745
Space-group type: C2/m, No. 12
Fermi-level density of states in states/eV per cell: 18.75